a | LiLuMg | PBE | relaxed

Structure (CIF):
```
data_LiLuMg
_chemical_formula_sum 'Li2 Lu2 Mg2'
_cell_length_a 3.501
_cell_length_b 3.501
_cell_length_c 11.628
_cell_angle_alpha 90.00
_cell_angle_beta 90.00
_cell_angle_gamma 90.00
_symmetry_space_group_name_H-M 'I 4 m m'
_symmetry_Int_Tables_number 107
_symmetry_space_group_name_Hall 'I 4 -2'
loop_
_atom_site_label
_atom_site_fract_x
_atom_site_fract_y
_atom_site_fract_z
Li1 0.000 0.000 0.000
Lu1 0.000 0.000 0.319
Mg1 0.000 0.000 0.630
```



b | LiLuMg | PBE | relaxed

Structure (CIF):
```
data_LiLuMg
_chemical_formula_sum 'Li1 Lu1 Mg1'
_cell_length_a 3.3025
_cell_length_b 3.3025
_cell_length_c 7.8802
_cell_angle_alpha 90.00
_cell_angle_beta 90.00
_cell_angle_gamma 120.00
_symmetry_space_group_name_H-M 'P 3 m 1'
_symmetry_Int_Tables_number 156
_symmetry_space_group_name_Hall 'P 3 -2"'
loop_
_atom_site_label
_atom_site_fract_x
_atom_site_fract_y
_atom_site_fract_z
Li1 0.0000 0.0000 0.0000
Lu1 0.3333 0.6667 0.6546
Mg1 0.6667 0.3333 0.3096
```



Stability check: which of them is most stable? a.



a | LiNdLu | PBE | relaxed

Structure (CIF):
```
data_LiNdLu
_chemical_formula_sum 'Li1 Nd1 Lu1'
_cell_length_a 3.4901
_cell_length_b 3.4901
_cell_length_c 8.3409
_cell_angle_alpha 90.00
_cell_angle_beta 90.00
_cell_angle_gamma 120.00
_symmetry_space_group_name_H-M 'P 3 m 1'
_symmetry_Int_Tables_number 156
_symmetry_space_group_name_Hall 'P 3 -2"'
loop_
_atom_site_label
_atom_site_fract_x
_atom_site_fract_y
_atom_site_fract_z
Li1 0.0000 0.0000 0.0000
Nd1 0.3333 0.6667 0.6603
Lu1 0.6667 0.3333 0.3199
```



b | LiNdLu | PBE | relaxed

Structure (CIF):
```
data_LiNdLu
_chemical_formula_sum 'Li2 Nd2 Lu2'
_cell_length_a 3.688
_cell_length_b 3.688
_cell_length_c 12.291
_cell_angle_alpha 90.00
_cell_angle_beta 90.00
_cell_angle_gamma 90.00
_symmetry_space_group_name_H-M 'I 4 m m'
_symmetry_Int_Tables_number 107
_symmetry_space_group_name_Hall 'I 4 -2'
loop_
_atom_site_label
_atom_site_fract_x
_atom_site_fract_y
_atom_site_fract_z
Li1 0.000 0.000 0.000
Nd1 0.000 0.000 0.662
Lu1 0.000 0.000 0.356
```



Stability check: which of them is most stable? b.



a | LiNd2Lu | PBE | relaxed

Structure (CIF):
```
data_LiNd2Lu
_chemical_formula_sum 'Li4 Nd8 Lu4'
_cell_length_a 7.853
_cell_length_b 7.853
_cell_length_c 7.853
_cell_angle_alpha 90.00
_cell_angle_beta 90.00
_cell_angle_gamma 90.00
_symmetry_space_group_name_H-M 'F m -3 m'
_symmetry_Int_Tables_number 225
_symmetry_space_group_name_Hall '-F 4 2 3'
loop_
_atom_site_label
_atom_site_fract_x
_atom_site_fract_y
_atom_site_fract_z
Li1 0.000 0.000 0.000
Nd1 0.250 0.250 0.250
Lu1 0.000 0.000 0.500
```



b | LiNd2Lu | PBE | relaxed

Structure (CIF):
```
data_LiNd2Lu
_chemical_formula_sum 'Li1 Nd2 Lu1'
_cell_length_a 3.655
_cell_length_b 3.655
_cell_length_c 9.037
_cell_angle_alpha 90.00
_cell_angle_beta 90.00
_cell_angle_gamma 90.00
_symmetry_space_group_name_H-M 'P 4/m m m'
_symmetry_Int_Tables_number 123
_symmetry_space_group_name_Hall '-P 4 2'
loop_
_atom_site_label
_atom_site_fract_x
_atom_site_fract_y
_atom_site_fract_z
Li1 0.000 0.000 0.000
Nd1 0.500 0.500 0.233
Lu1 0.000 0.000 0.500
```



Stability check: which of them is most stable? b.



a | LiLuNi2 | PBE | relaxed

Structure (CIF):
```
data_LiLuNi2
_chemical_formula_sum 'Li1 Lu1 Ni2'
_cell_length_a 3.248
_cell_length_b 3.248
_cell_length_c 5.622
_cell_angle_alpha 90.00
_cell_angle_beta 90.00
_cell_angle_gamma 90.00
_symmetry_space_group_name_H-M 'P 4/m m m'
_symmetry_Int_Tables_number 123
_symmetry_space_group_name_Hall '-P 4 2'
loop_
_atom_site_label
_atom_site_fract_x
_atom_site_fract_y
_atom_site_fract_z
Li1 0.000 0.000 0.000
Lu1 0.000 0.000 0.500
Ni1 0.500 0.500 0.224
```



b | LiLuNi2 | PBE | relaxed

Structure (CIF):
```
data_LiLuNi2
_chemical_formula_sum 'Li4 Lu4 Ni8'
_cell_length_a 6.235
_cell_length_b 6.235
_cell_length_c 6.235
_cell_angle_alpha 90.00
_cell_angle_beta 90.00
_cell_angle_gamma 90.00
_symmetry_space_group_name_H-M 'F m -3 m'
_symmetry_Int_Tables_number 225
_symmetry_space_group_name_Hall '-F 4 2 3'
loop_
_atom_site_label
_atom_site_fract_x
_atom_site_fract_y
_atom_site_fract_z
Li1 0.000 0.000 0.000
Lu1 0.000 0.000 0.500
Ni1 0.250 0.250 0.250
```



c | LiLuNi2 | PBE | relaxed

Structure (CIF):
```
data_LiLuNi2
_chemical_formula_sum 'Li1 Lu1 Ni2'
_cell_length_a 4.000
_cell_length_b 4.000
_cell_length_c 3.684
_cell_angle_alpha 90.00
_cell_angle_beta 90.00
_cell_angle_gamma 90.00
_symmetry_space_group_name_H-M 'P 4/m m m'
_symmetry_Int_Tables_number 123
_symmetry_space_group_name_Hall '-P 4 2'
loop_
_atom_site_label
_atom_site_fract_x
_atom_site_fract_y
_atom_site_fract_z
Li1 0.000 0.000 0.000
Lu1 0.500 0.500 0.000
Ni1 0.000 0.500 0.500
```



Stability check: which of them is most stable? a.



a | LiLuPd | PBE | relaxed

Structure (CIF):
```
data_LiLuPd
_chemical_formula_sum 'Li1 Lu1 Pd1'
_cell_length_a 4.3148
_cell_length_b 4.3148
_cell_length_c 3.5369
_cell_angle_alpha 90.00
_cell_angle_beta 90.00
_cell_angle_gamma 120.00
_symmetry_space_group_name_H-M 'P -6 m 2'
_symmetry_Int_Tables_number 187
_symmetry_space_group_name_Hall 'P -6 2'
loop_
_atom_site_label
_atom_site_fract_x
_atom_site_fract_y
_atom_site_fract_z
Li1 0.0000 0.0000 0.0000
Lu1 0.6667 0.3333 0.5000
Pd1 0.3333 0.6667 0.0000
```



b | LiLuPd | PBE | relaxed

Structure (CIF):
```
data_LiLuPd
_chemical_formula_sum 'Li2 Lu2 Pd2'
_cell_length_a 3.501
_cell_length_b 3.501
_cell_length_c 9.220
_cell_angle_alpha 90.00
_cell_angle_beta 90.00
_cell_angle_gamma 90.00
_symmetry_space_group_name_H-M 'I 4 m m'
_symmetry_Int_Tables_number 107
_symmetry_space_group_name_Hall 'I 4 -2'
loop_
_atom_site_label
_atom_site_fract_x
_atom_site_fract_y
_atom_site_fract_z
Li1 0.000 0.000 0.000
Lu1 0.000 0.000 0.302
Pd1 0.000 0.000 0.643
```



Stability check: which of them is most stable? b.



a | LiLu2Pd | PBE | relaxed

Structure (CIF):
```
data_LiLu2Pd
_chemical_formula_sum 'Li4 Lu8 Pd4'
_cell_length_a 6.950
_cell_length_b 6.950
_cell_length_c 6.950
_cell_angle_alpha 90.00
_cell_angle_beta 90.00
_cell_angle_gamma 90.00
_symmetry_space_group_name_H-M 'F m -3 m'
_symmetry_Int_Tables_number 225
_symmetry_space_group_name_Hall '-F 4 2 3'
loop_
_atom_site_label
_atom_site_fract_x
_atom_site_fract_y
_atom_site_fract_z
Li1 0.000 0.000 0.000
Lu1 0.250 0.250 0.250
Pd1 0.000 0.000 0.500
```



b | LiLu2Pd | PBE | relaxed

Structure (CIF):
```
data_LiLu2Pd
_chemical_formula_sum 'Li1 Lu2 Pd1'
_cell_length_a 4.849
_cell_length_b 4.849
_cell_length_c 3.571
_cell_angle_alpha 90.00
_cell_angle_beta 90.00
_cell_angle_gamma 90.00
_symmetry_space_group_name_H-M 'P 4/m m m'
_symmetry_Int_Tables_number 123
_symmetry_space_group_name_Hall '-P 4 2'
loop_
_atom_site_label
_atom_site_fract_x
_atom_site_fract_y
_atom_site_fract_z
Li1 0.000 0.000 0.000
Lu1 0.000 0.500 0.500
Pd1 0.500 0.500 0.000
```



Stability check: which of them is most stable? a.



a | LiPmLu | PBE | relaxed

Structure (CIF):
```
data_LiPmLu
_chemical_formula_sum 'Li1 Pm1 Lu1'
_cell_length_a 3.4768
_cell_length_b 3.4768
_cell_length_c 8.3164
_cell_angle_alpha 90.00
_cell_angle_beta 90.00
_cell_angle_gamma 120.00
_symmetry_space_group_name_H-M 'P 3 m 1'
_symmetry_Int_Tables_number 156
_symmetry_space_group_name_Hall 'P 3 -2"'
loop_
_atom_site_label
_atom_site_fract_x
_atom_site_fract_y
_atom_site_fract_z
Li1 0.0000 0.0000 0.0000
Pm1 0.6667 0.3333 0.3393
Lu1 0.3333 0.6667 0.6788
```



b | LiPmLu | PBE | relaxed

Structure (CIF):
```
data_LiPmLu
_chemical_formula_sum 'Li2 Pm2 Lu2'
_cell_length_a 3.661
_cell_length_b 3.661
_cell_length_c 12.369
_cell_angle_alpha 90.00
_cell_angle_beta 90.00
_cell_angle_gamma 90.00
_symmetry_space_group_name_H-M 'I 4 m m'
_symmetry_Int_Tables_number 107
_symmetry_space_group_name_Hall 'I 4 -2'
loop_
_atom_site_label
_atom_site_fract_x
_atom_site_fract_y
_atom_site_fract_z
Li1 0.000 0.000 0.000
Pm1 0.000 0.000 0.662
Lu1 0.000 0.000 0.354
```



Stability check: which of them is most stable? b.